DFT (PBE-GGA) results for TbY2Co9 after structural relaxation.

Summary:
- Space group: R-3m (166)
- Calculated volume: 14.59 Å³ per atom
- Formation energy from the elements: -0.163 eV per atom

Lattice parameters (Å, degrees): 4.989 4.989 8.618 73.18 73.18 60.00
Sites, in units of the cell vectors:
Tb 0.000 0.000 0.000
Y 0.860 0.860 0.419
Y 0.140 0.140 0.581
Co 0.665 0.665 0.004
Co 0.335 0.335 0.996
Co 0.500 0.500 0.500
Co 0.418 0.418 0.243
Co 0.921 0.418 0.243
Co 0.418 0.921 0.243
Co 0.582 0.582 0.757
Co 0.582 0.079 0.757
Co 0.079 0.582 0.757

DFT (PBE-GGA) results for Tb3Y4Co4 after structural relaxation.

Summary:
- Space group: Immm (71)
- Calculated volume: 22.75 Å³ per atom
- Formation energy from the elements: -0.061 eV per atom

Lattice parameters (Å, degrees): 3.621 8.844 9.159 118.87 101.40 90.00
Sites, in units of the cell vectors:
Tb 0.103 0.103 0.206
Tb 0.897 0.897 0.794
Tb 0.000 0.500 0.000
Y 0.334 0.149 0.668
Y 0.666 0.481 0.332
Y 0.666 0.851 0.332
Y 0.334 0.519 0.668
Co 0.254 0.754 0.508
Co 0.746 0.246 0.492
Co 0.500 0.786 0.000
Co 0.500 0.214 0.000

DFT (PBE-GGA) results for TbY4Co2 after structural relaxation.

Summary:
- Space group: P2_1/m (11)
- Calculated volume: 25.89 Å³ per atom
- Formation energy from the elements: -0.061 eV per atom

Lattice parameters (Å, degrees): 6.452 8.708 7.007 112.93 90.00 90.00
Sites, in units of the cell vectors:
Y 0.501 0.427 0.711
Y 0.250 0.208 0.232
Y 0.750 0.792 0.768
Y 0.999 0.427 0.711
Y 0.750 0.997 0.329
Y 0.001 0.573 0.289
Y 0.499 0.573 0.289
Y 0.250 0.003 0.671
Co 0.250 0.346 0.969
Co 0.750 0.654 0.031
Co 0.750 0.334 0.371
Co 0.250 0.666 0.629
Tb 0.250 0.786 0.019
Tb 0.750 0.214 0.981

DFT (PBE-GGA) results for Tb2YCo after structural relaxation.

Summary:
- Space group: R3m (160)
- Calculated volume: 27.73 Å³ per atom
- Formation energy from the elements: 0.002 eV per atom

Lattice parameters (Å, degrees): 3.777 3.777 9.241 78.21 78.21 60.00
Sites, in units of the cell vectors:
Tb 0.057 0.057 0.830
Tb 0.276 0.276 0.172
Y 0.501 0.501 0.496
Co 0.666 0.666 0.002

DFT (PBE-GGA) results for TbY12Co6 after structural relaxation.

Summary:
- Space group: Im-3 (204)
- Calculated volume: 24.90 Å³ per atom
- Formation energy from the elements: -0.122 eV per atom

Lattice parameters (Å, degrees): 8.503 8.503 8.503 109.47 109.47 109.47
Sites, in units of the cell vectors:
Tb 0.000 0.000 0.000
Y 0.309 0.115 0.806
Y 0.309 0.502 0.194
Y 0.691 0.498 0.806
Y 0.691 0.885 0.194
Y 0.115 0.806 0.309
Y 0.502 0.194 0.309
Y 0.498 0.806 0.691
Y 0.885 0.194 0.691
Y 0.806 0.309 0.115
Y 0.194 0.309 0.502
Y 0.806 0.691 0.498
Y 0.194 0.691 0.885
Co 0.388 0.500 0.888
Co 0.612 0.500 0.112
Co 0.500 0.888 0.388
Co 0.500 0.112 0.612
Co 0.888 0.388 0.500
Co 0.112 0.612 0.500

DFT (PBE-GGA) results for Tb2YCo after structural relaxation.

Summary:
- Space group: R-3m (166)
- Calculated volume: 28.90 Å³ per atom
- Formation energy from the elements: 0.169 eV per atom

Lattice parameters (Å, degrees): 3.596 3.596 10.531 80.17 80.17 60.00
Sites, in units of the cell vectors:
Y 0.000 0.000 0.000
Co 0.500 0.500 0.500
Tb 0.114 0.114 0.659
Tb 0.886 0.886 0.341